No. 1
# NiPW2, optimized geometry, DFT GGA-PBE
# Magnetization, μB per formula unit: 0.00
# ρ, g/cm3: 13.9
# DOS at the Fermi energy, states/eV/cell: 6.22
# Total energy, eV/atom: -9.3484
data_NiPW2
_chemical_formula_sum 'Ni2 P2 W4'
_space_group_name_H-M_alt 'A m m 2'
_space_group_IT_number 38
_space_group_name_Hall 'A 2 -2'
_cell_length_a 3.481
_cell_length_b 3.292
_cell_length_c 9.549
_cell_angle_alpha 90.00
_cell_angle_beta 90.00
_cell_angle_gamma 90.00
loop_
_atom_site_label
_atom_site_fract_x
_atom_site_fract_y
_atom_site_fract_z
Ni1 0.000 0.000 0.000
P1 0.500 0.000 0.130
W1 0.000 0.000 0.728
W2 0.500 0.000 0.392

No. 2
# SrIn4Ni2, optimized geometry, DFT GGA-PBE
# Magnetization, μB per formula unit: 0.00
# ρ, g/cm3: 7.3
# DOS at the Fermi energy, states/eV/cell: 14.84
# Total energy, eV/atom: -3.6722
data_SrIn4Ni2
_chemical_formula_sum 'Sr4 In16 Ni8'
_space_group_name_H-M_alt 'P n m a'
_space_group_IT_number 62
_space_group_name_Hall '-P 2ac 2n'
_cell_length_a 18.448
_cell_length_b 4.524
_cell_length_c 7.235
_cell_angle_alpha 90.00
_cell_angle_beta 90.00
_cell_angle_gamma 90.00
loop_
_atom_site_label
_atom_site_fract_x
_atom_site_fract_y
_atom_site_fract_z
Sr1 0.138 0.250 0.026
In1 0.032 0.750 0.834
In2 0.075 0.250 0.506
In3 0.185 0.750 0.331
In4 0.197 0.750 0.736
Ni1 0.039 0.750 0.261
Ni2 0.220 0.250 0.539

No. 3
# ReTe2Au, optimized geometry, DFT GGA-PBE
# Magnetization, μB per formula unit: 0.01
# Formation energy (no corrections), eV per formula unit: 4.07
# ρ, g/cm3: 12.8
# DOS at the Fermi energy, states/eV/cell: 4.00
# Total energy, eV/atom: -4.4858
data_ReTe2Au
_chemical_formula_sum 'Re1 Te2 Au1'
_space_group_name_H-M_alt 'P m m m'
_space_group_IT_number 47
_space_group_name_Hall '-P 2 2'
_cell_length_a 3.444
_cell_length_b 4.713
_cell_length_c 5.118
_cell_angle_alpha 90.00
_cell_angle_beta 90.00
_cell_angle_gamma 90.00
loop_
_atom_site_label
_atom_site_fract_x
_atom_site_fract_y
_atom_site_fract_z
Re1 0.000 0.000 0.000
Te1 0.000 0.500 0.500
Te2 0.500 0.500 0.000
Au1 0.500 0.000 0.500

No. 4
# Sc2PdPt3, optimized geometry, DFT GGA-PBE
# Magnetization, μB per formula unit: 0.00
# ρ, g/cm3: 11.8
# DOS at the Fermi energy, states/eV/cell: 21.48
# Total energy, eV/atom: -6.7540
data_Sc2PdPt3
_chemical_formula_sum 'Sc16 Pd8 Pt24'
_space_group_name_H-M_alt 'I 41/a m d'
_space_group_IT_number 141
_cell_length_a 8.799
_cell_length_b 8.799
_cell_length_c 11.339
_cell_angle_alpha 90.00
_cell_angle_beta 90.00
_cell_angle_gamma 90.00
loop_
_space_group_symop_operation_xyz
'x,y,z'
'-x,-y,-z'
'-y+1/4,x+3/4,z+1/4'
'y+1/4,-x+3/4,-z+1/4'
'-x+1/2,-y,z+1/2'
'x+1/2,y,-z+1/2'
'y+1/4,-x+1/4,z+3/4'
'-y+1/4,x+1/4,-z+3/4'
'x,-y,-z'
'-x,y,z'
'-y+1/4,-x+1/4,-z+3/4'
'y+1/4,x+1/4,z+3/4'
'-x+1/2,y,-z+1/2'
'x+1/2,-y,z+1/2'
'y+1/4,x+3/4,-z+1/4'
'-y+1/4,-x+3/4,z+1/4'
'x+1/2,y+1/2,z+1/2'
'-x+1/2,-y+1/2,-z+1/2'
'-y+3/4,x+1/4,z+3/4'
'y+3/4,-x+1/4,-z+3/4'
'-x,-y+1/2,z'
'x,y+1/2,-z'
'y+3/4,-x+3/4,z+1/4'
'-y+3/4,x+3/4,-z+1/4'
'x+1/2,-y+1/2,-z+1/2'
'-x+1/2,y+1/2,z+1/2'
'-y+3/4,-x+3/4,-z+1/4'
'y+3/4,x+3/4,z+1/4'
'-x,y+1/2,-z'
'x,-y+1/2,z'
'y+3/4,x+1/4,-z+3/4'
'-y+3/4,-x+1/4,z+3/4'
loop_
_atom_site_label
_atom_site_fract_x
_atom_site_fract_y
_atom_site_fract_z
Sc1 0.000 0.055 0.267
Pd1 0.000 0.250 0.001
Pt1 0.000 0.000 0.500
Pt2 0.220 0.030 0.875

No. 5
# P2OsSe, optimized geometry, DFT GGA-PBE
# Magnetization, μB per formula unit: 0.00
# Formation energy (no corrections), eV per formula unit: 1.03
# ρ, g/cm3: 7.5
# DOS at the Fermi energy, states/eV/cell: 3.66
# Total energy, eV/atom: -6.1262
data_P2OsSe
_chemical_formula_sum 'P6 Os3 Se3'
_space_group_name_H-M_alt 'R 3 m'
_space_group_IT_number 160
_space_group_name_Hall 'R 3 -2"'
_cell_length_a 3.1913
_cell_length_b 3.1913
_cell_length_c 24.9325
_cell_angle_alpha 90.00
_cell_angle_beta 90.00
_cell_angle_gamma 120.00
loop_
_atom_site_label
_atom_site_fract_x
_atom_site_fract_y
_atom_site_fract_z
P1 0.0000 0.0000 0.0000
P2 0.0000 0.0000 0.2805
Os1 0.0000 0.0000 0.7475
Se1 0.0000 0.0000 0.4774

No. 6
# P2AuS2, optimized geometry, DFT GGA-PBE
# Magnetization, μB per formula unit: 0.00
# Formation energy (no corrections), eV per formula unit: 0.31
# ρ, g/cm3: 4.5
# DOS at the Fermi energy, states/eV/cell: 2.24
# Total energy, eV/atom: -4.4077
data_P2AuS2
_chemical_formula_sum 'P2 Au1 S2'
_space_group_name_H-M_alt 'P 1'
_space_group_IT_number 1
_space_group_name_Hall 'P 1'
_cell_length_a 4.081
_cell_length_b 5.588
_cell_length_c 5.675
_cell_angle_alpha 78.89
_cell_angle_beta 70.43
_cell_angle_gamma 89.72
loop_
_atom_site_label
_atom_site_fract_x
_atom_site_fract_y
_atom_site_fract_z
P1 0.000 0.000 0.000
P2 0.218 0.704 0.479
Au1 0.724 0.951 0.703
S1 0.087 0.639 0.161
S2 0.515 0.048 0.336

Q: What is the formula in the third record?
A: ReTe2Au